[1]
DFT (PBE) results for a relaxed structure of U3TiTl4Se8.

Summary:
Fermi-level density of states, states/eV/f.u.: 14.55
Symmetry: R-3m, No. 166
Energy, eV/atom: -5.81
Uncorrected formation energy, eV per atom: -0.87
Crystal system: trigonal

The structure in CIF format:
```
data_U3TiTl4Se8
_symmetry_space_group_name_H-M 'P 1'
_symmetry_Int_Tables_number 1
_cell_length_a 9.2264
_cell_length_b 9.2264
_cell_length_c 9.2264
_cell_angle_alpha 52.03
_cell_angle_beta 52.03
_cell_angle_gamma 52.03
loop_
_symmetry_equiv_pos_as_xyz
'x,y,z'
loop_
_atom_site_label
_atom_site_type_symbol
_atom_site_fract_x
_atom_site_fract_y
_atom_site_fract_z
_atom_site_occupancy
U1 U 0.0000 0.5000 0.5000 1
U2 U 0.5000 0.0000 0.5000 1
U3 U 0.5000 0.5000 0.0000 1
Ti1 Ti 0.0000 0.0000 0.0000 1
Tl1 Tl 0.0000 0.0000 0.5000 1
Tl2 Tl 0.0000 0.5000 0.0000 1
Tl3 Tl 0.5000 0.0000 0.0000 1
Tl4 Tl 0.5000 0.5000 0.5000 1
Se1 Se 0.2250 0.2250 0.7499 1
Se2 Se 0.2250 0.7499 0.2250 1
Se3 Se 0.2501 0.7750 0.7750 1
Se4 Se 0.2629 0.2629 0.2629 1
Se5 Se 0.7371 0.7371 0.7371 1
Se6 Se 0.7499 0.2250 0.2250 1
Se7 Se 0.7750 0.2501 0.7750 1
Se8 Se 0.7750 0.7750 0.2501 1
```


[2]
DFT (PBE) results for a relaxed structure of NiOs3C.

Summary:
Fermi-level density of states, states/eV/f.u.: 6.82
Polymorph energy (0 for the lowest one), eV/atom: 2.661
Symmetry: Pm-3m, No. 221
Energy, eV/atom: -6.45
Formation enthalpy at 0 K, eV per atom: 3.29
Crystal system: cubic

The structure in CIF format:
```
data_NiOs3C
_symmetry_space_group_name_H-M 'P 1'
_symmetry_Int_Tables_number 1
_cell_length_a 4.4031
_cell_length_b 4.4031
_cell_length_c 4.4031
_cell_angle_alpha 90.00
_cell_angle_beta 90.00
_cell_angle_gamma 90.00
loop_
_symmetry_equiv_pos_as_xyz
'x,y,z'
loop_
_atom_site_label
_atom_site_type_symbol
_atom_site_fract_x
_atom_site_fract_y
_atom_site_fract_z
_atom_site_occupancy
Ni1 Ni 0.0000 0.0000 0.0000 1
Os1 Os 0.0000 0.0000 0.5000 1
Os2 Os 0.0000 0.5000 0.0000 1
Os3 Os 0.5000 0.0000 0.0000 1
C1 C 0.5000 0.5000 0.5000 1
```


[3]
DFT (PBE) results for a relaxed structure of NbAgRh2.

Summary:
Fermi-level density of states, states/eV/f.u.: 0.67
Symmetry: P4/mmm, No. 123
Energy, eV/atom: -7.10
Formation enthalpy at 0 K, eV per atom: -0.20
Crystal system: tetragonal

The structure in CIF format:
```
data_NbAgRh2
_symmetry_space_group_name_H-M 'P 1'
_symmetry_Int_Tables_number 1
_cell_length_a 4.1203
_cell_length_b 4.1203
_cell_length_c 3.6915
_cell_angle_alpha 90.00
_cell_angle_beta 90.00
_cell_angle_gamma 90.00
loop_
_symmetry_equiv_pos_as_xyz
'x,y,z'
loop_
_atom_site_label
_atom_site_type_symbol
_atom_site_fract_x
_atom_site_fract_y
_atom_site_fract_z
_atom_site_occupancy
Nb1 Nb 0.0000 0.0000 0.0000 1
Ag1 Ag 0.5000 0.5000 0.0000 1
Rh1 Rh 0.0000 0.5000 0.5000 1
Rh2 Rh 0.5000 0.0000 0.5000 1
```


Question: Among the records above, which one has the lowest Fermi-level density of states?
Answer: NbAgRh2


Question: The lowest Fermi-level density of states belongs to which entry?
Answer: NbAgRh2